[1]
Compound: SnPt2WN
Source: Alexandria
Functional: PBE
Structure: optimized geometry

a b c (Å): 4.8693 5.3926 4.8693
angles (deg): 90.00 90.00 90.00
With the nearest neighbours (Å) after each atom.
Sites, in units of the cell vectors:
Pt 0.5000 0.0000 0.0000  2 W 2.43
Pt 0.0000 0.0000 0.5000  2 W 2.43
W 0.0000 0.0000 0.0000  4 Pt 2.43, 2 Sn 2.70
N 0.5000 0.5000 0.5000  4 Sn 3.44, 8 Pt 3.63
Sn 0.0000 0.5000 0.0000  2 W 2.70

Values from the calculation:
raw formation energy = 1.9142 eV per atom
space-group type = No. 123
total energy = -0.2043 Ha/atom

[2]
Compound: SrPtN
Source: Alexandria
Functional: PBE
Structure: optimized geometry

a b c (Å): 3.9031 3.9031 3.8377
angles (deg): 90.00 90.00 90.00
With the nearest neighbours (Å) after each atom.
Sites, in units of the cell vectors:
Pt 0.5000 0.5000 0.5000  2 N 1.92
N 0.5000 0.5000 0.0000  2 Pt 1.92
Sr 0.0000 0.0000 0.0000  4 N 2.76

Values from the calculation:
raw formation energy = -0.6855 eV per atom
space-group type = No. 123
total energy = -0.2218 Ha/atom

[3]
Compound: Sr4Pt2N
Source: Alexandria
Functional: PBE
Structure: optimized geometry

a b c (Å): 5.0562 5.0562 8.5238
angles (deg): 72.75 72.75 90.00
With the nearest neighbours (Å) after each atom.
Sites, in units of the cell vectors:
Sr 0.1697 0.1697 0.6605  1 N 2.63
Sr 0.8303 0.8303 0.3395  1 N 2.63
Sr 0.5000 0.0000 0.0000  2 N 2.53
Sr 0.0000 0.5000 0.0000  2 N 2.53
Pt 0.3662 0.3662 0.2676  5 Sr 3.04-3.27
Pt 0.6338 0.6338 0.7324  5 Sr 3.04-3.27
N 0.0000 0.0000 0.0000  6 Sr 2.53-2.63

Values from the calculation:
raw formation energy = -0.5865 eV per atom
space-group type = No. 139
total energy = -0.1640 Ha/atom

[4]
Compound: SrPtN
Source: Alexandria
Functional: PBE
Structure: optimized geometry

a b c (Å): 4.5227 10.9302 5.2398
angles (deg): 90.00 90.00 90.00
With the nearest neighbours (Å) after each atom.
Sites, in units of the cell vectors:
Sr 0.0000 0.6646 0.8381  3 N 2.52-2.66
Sr 0.5000 0.8354 0.3381  3 N 2.52-2.66
Sr 0.5000 0.1646 0.8381  3 N 2.52-2.66
Sr 0.0000 0.3354 0.3381  3 N 2.52-2.66
Pt 0.0000 0.0273 0.2784  2 N 1.97-2.07
Pt 0.5000 0.4727 0.7784  2 N 1.97-2.07
Pt 0.5000 0.5273 0.2784  2 N 1.97-2.07
Pt 0.0000 0.9727 0.7784  2 N 1.97-2.07
N 0.0000 0.8643 0.0784  2 Pt 1.97-2.07
N 0.5000 0.6357 0.5784  2 Pt 1.97-2.07
N 0.5000 0.3643 0.0784  2 Pt 1.97-2.07
N 0.0000 0.1357 0.5784  2 Pt 1.97-2.07

Values from the calculation:
raw formation energy = -0.4784 eV per atom
space-group type = No. 36
total energy = -0.2142 Ha/atom

[5]
Compound: Sr3PtN
Source: Alexandria
Functional: PBE
Structure: optimized geometry

a b c (Å): 5.1187 5.1187 5.1187
angles (deg): 90.00 90.00 90.00
With the nearest neighbours (Å) after each atom.
Sites, in units of the cell vectors:
Sr 0.5000 0.0000 0.0000  2 N 2.56
Sr 0.0000 0.5000 0.0000  2 N 2.56
Sr 0.0000 0.0000 0.5000  2 N 2.56
Pt 0.5000 0.5000 0.5000  12 Sr 3.62
N 0.0000 0.0000 0.0000  6 Sr 2.56

Values from the calculation:
raw formation energy = -0.5406 eV per atom
energy relative to the lowest polymorph listed for this composition = 0.000 eV per atom
space-group type = No. 221
total energy = -0.1625 Ha/atom

[6]
Compound: Sr12Pt3N5
Source: Alexandria
Functional: PBE
Structure: optimized geometry

a b c (Å): 14.2936 14.2936 14.2936
angles (deg): 109.47 109.47 109.47
With the nearest neighbours (Å) after each atom.
Sites, in units of the cell vectors:
N 0.3750 0.2500 0.1250  4 Sr 2.43
N 0.0000 0.5000 0.5000  6 Sr 2.68
N 0.1250 0.7500 0.3750  4 Sr 2.43
N 0.6250 0.8750 0.2500  4 Sr 2.43
N 0.5000 0.5000 0.5000  6 Sr 2.68
N 0.8750 0.6250 0.7500  4 Sr 2.43
N 0.7500 0.1250 0.8750  4 Sr 2.43
N 0.5000 0.0000 0.0000  6 Sr 2.68
N 0.0000 0.0000 0.0000  6 Sr 2.68
N 0.0000 0.0000 0.5000  6 Sr 2.68
N 0.5000 0.5000 0.0000  6 Sr 2.68
N 0.1250 0.3750 0.2500  4 Sr 2.43
N 0.2500 0.8750 0.1250  4 Sr 2.43
N 0.0000 0.5000 0.0000  6 Sr 2.68
N 0.3750 0.1250 0.7500  4 Sr 2.43
N 0.8750 0.2500 0.6250  4 Sr 2.43
N 0.5000 0.0000 0.5000  6 Sr 2.68
N 0.6250 0.7500 0.8750  4 Sr 2.43
N 0.2500 0.3750 0.6250  4 Sr 2.43
N 0.7500 0.6250 0.3750  4 Sr 2.43
Sr 0.2030 0.6807 0.0817  2 N 2.43-2.68
Sr 0.2970 0.8787 0.9777  2 N 2.43-2.68
Sr 0.3787 0.9777 0.7970  2 N 2.43-2.68
Sr 0.2970 0.4183 0.8193  2 N 2.43-2.68
Sr 0.9777 0.5990 0.1807  2 N 2.43-2.68
Sr 0.5817 0.8787 0.4010  2 N 2.43-2.68
Sr 0.3193 0.5223 0.4010  2 N 2.43-2.68
Sr 0.8787 0.5817 0.9010  2 N 2.43-2.68
Sr 0.4183 0.1213 0.5990  2 N 2.43-2.68
Sr 0.6807 0.4777 0.5990  2 N 2.43-2.68
Sr 0.1807 0.0817 0.7030  2 N 2.43-2.68
Sr 0.7030 0.1213 0.0223  2 N 2.43-2.68
Sr 0.1807 0.0990 0.9777  2 N 2.43-2.68
Sr 0.0817 0.9010 0.3787  2 N 2.43-2.68
Sr 0.8787 0.2970 0.4777  2 N 2.43-2.68
Sr 0.2030 0.5223 0.6213  2 N 2.43-2.68
Sr 0.0817 0.1807 0.2030  2 N 2.43-2.68
Sr 0.1213 0.7030 0.5223  2 N 2.43-2.68
Sr 0.7030 0.5817 0.1807  2 N 2.43-2.68
Sr 0.9183 0.0990 0.6213  2 N 2.43-2.68
Sr 0.3193 0.7970 0.4183  2 N 2.43-2.68
Sr 0.6807 0.2030 0.5817  2 N 2.43-2.68
Sr 0.1213 0.4183 0.0990  2 N 2.43-2.68
Sr 0.0223 0.6213 0.7030  2 N 2.43-2.68
Sr 0.0990 0.1807 0.4777  2 N 2.43-2.68
Sr 0.5223 0.2030 0.1213  2 N 2.43-2.68
Sr 0.4010 0.3787 0.5817  2 N 2.43-2.68
Sr 0.5990 0.6213 0.4183  2 N 2.43-2.68
Sr 0.5223 0.3193 0.9010  2 N 2.43-2.68
Sr 0.6213 0.5990 0.9183  2 N 2.43-2.68
Sr 0.3787 0.4010 0.0817  2 N 2.43-2.68
Sr 0.5990 0.9777 0.6807  2 N 2.43-2.68
Sr 0.4777 0.7970 0.8787  2 N 2.43-2.68
Sr 0.7970 0.4777 0.3787  2 N 2.43-2.68
Sr 0.9183 0.8193 0.7970  2 N 2.43-2.68
Sr 0.7970 0.3193 0.9183  2 N 2.43-2.68
Sr 0.0990 0.9183 0.1213  2 N 2.43-2.68
Sr 0.9777 0.3787 0.2970  2 N 2.43-2.68
Sr 0.5817 0.7030 0.6807  2 N 2.43-2.68
Sr 0.0223 0.4010 0.8193  2 N 2.43-2.68
Sr 0.9010 0.0817 0.8787  2 N 2.43-2.68
Sr 0.8193 0.9010 0.0223  2 N 2.43-2.68
Sr 0.8193 0.9183 0.2970  2 N 2.43-2.68
Sr 0.9010 0.8193 0.5223  2 N 2.43-2.68
Sr 0.4010 0.0223 0.3193  2 N 2.43-2.68
Sr 0.6213 0.0223 0.2030  2 N 2.43-2.68
Sr 0.4183 0.2970 0.3193  2 N 2.43-2.68
Sr 0.4777 0.6807 0.0990  2 N 2.43-2.68
Pt 0.2500 0.6250 0.8750  8 Sr 3.15-3.33
Pt 0.7500 0.8750 0.6250  8 Sr 3.15-3.33
Pt 0.7500 0.3750 0.1250  8 Sr 3.15-3.33
Pt 0.8750 0.7500 0.1250  8 Sr 3.15-3.33
Pt 0.8750 0.1250 0.2500  8 Sr 3.15-3.33
Pt 0.1250 0.8750 0.7500  8 Sr 3.15-3.33
Pt 0.6250 0.2500 0.3750  8 Sr 3.15-3.33
Pt 0.6250 0.3750 0.7500  8 Sr 3.15-3.33
Pt 0.3750 0.7500 0.6250  8 Sr 3.15-3.33
Pt 0.1250 0.2500 0.8750  8 Sr 3.15-3.33
Pt 0.2500 0.1250 0.3750  8 Sr 3.15-3.33
Pt 0.3750 0.6250 0.2500  8 Sr 3.15-3.33

Values from the calculation:
raw formation energy = -0.5434 eV per atom
space-group type = No. 230
total energy = -0.1668 Ha/atom

[7]
Compound: SrPtN3
Source: Alexandria
Functional: PBE
Structure: optimized geometry

a b c (Å): 4.3569 4.3569 4.3569
angles (deg): 90.00 90.00 90.00
With the nearest neighbours (Å) after each atom.
Sites, in units of the cell vectors:
Pt 0.5000 0.5000 0.5000  12 N 3.08
N 0.0000 0.0000 0.5000  2 Sr 2.18
N 0.5000 0.0000 0.0000  2 Sr 2.18
N 0.0000 0.5000 0.0000  2 Sr 2.18
Sr 0.0000 0.0000 0.0000  6 N 2.18

Values from the calculation:
raw formation energy = 2.9449 eV per atom
space-group type = No. 221
total energy = -0.1321 Ha/atom

[8]
Compound: SrPtN
Source: Alexandria
Functional: PBE
Structure: optimized geometry

a b c (Å): 5.0484 5.9195 6.3911
angles (deg): 122.67 90.00 115.24
With the nearest neighbours (Å) after each atom.
Sites, in units of the cell vectors:
Sr 0.7500 0.0000 0.9967  2 N 2.53
Sr 0.2500 0.0000 0.5033  2 N 2.53
N 0.8281 0.6562 0.0781  2 Pt 1.94
N 0.6719 0.3438 0.4219  2 Pt 1.94
Pt 0.5766 0.5000 0.2500  2 N 1.94
Pt 0.9234 0.5000 0.7500  2 N 1.94

Values from the calculation:
raw formation energy = -0.1906 eV per atom
space-group type = No. 24
total energy = -0.2036 Ha/atom

Look up the total energy of the first one.
-0.2043 Ha/atom

Among the records above, which one has the highest total energy?
SrPtN3

The highest raw formation energy belongs to which entry?
SrPtN3